This record from Alexandria describes a relaxed structure of SrWO3. The functional is PBE+U.

Summary:
The value obtained for the uncorrected energy is -7.06 eV per atom. The calculation puts the total moment at 2.000 μB/cell.

Lattice parameters (Å, degrees): 4.1014 4.1014 4.1014 90.00 90.00 90.00
Space group Pm-3m (No. 221)
Unique sites:
Sr  0.0000  0.0000  0.0000 x1
W  0.5000  0.5000  0.5000 x1
O  0.0000  0.5000  0.5000 x3